(1)
## AlRu2Se (PBE-GGA)

Data for a relaxed structure of AlRu2Se.

Summary:
- formation energy from raw total energies (eV per atom) = 0.0719
- density (g cm⁻³) = 8.3
- energy above the lowest structure with this stoichiometry (kcal/mol of atoms) = 6.68
- space group = No. 160
- uncorrected energy (eV for the cell shown) = -25.491

Geometry as POSCAR:
```
AlRu2Se
1.0
-4.975 -2.141 -6.039
-3.206 -4.562 -5.892
-5.558 -4.308 -4.044
Ru Al Se
2 1 1
direct
0.003 0.003 0.003 Ru
0.247 0.247 0.247 Ru
0.746 0.746 0.746 Al
0.504 0.504 0.504 Se
```

(2)
## AlRuSe2 (PBE-GGA)

Data for a relaxed structure of AlRuSe2.

Summary:
- formation energy from raw total energies (eV per atom) = -0.3042
- density (g cm⁻³) = 5.4
- space group = No. 6
- uncorrected energy (eV for the cell shown) = -21.204

Geometry as POSCAR:
```
AlRuSe2
1.0
3.675 0.000 0.000
0.000 3.673 -0.035
0.000 0.106 6.501
Ru Al Se
1 1 2
direct
0.500 0.875 0.625 Ru
0.000 0.375 0.625 Al
0.000 0.872 0.897 Se
0.500 0.378 0.353 Se
```